DFT (PBE) results for a relaxed Nd3Cd4Rh4 crystal.

abc: 8.795 8.795 8.795
angles: 153.64 125.79 61.26
Fractional positions:
Nd (0.000, 0.000, 0.000)
Nd (0.384, 0.884, 0.500)
Nd (0.616, 0.116, 0.500)
Cd (0.018, 0.330, 0.688)
Cd (0.358, 0.670, 0.688)
Cd (0.642, 0.330, 0.312)
Cd (0.982, 0.670, 0.312)
Rh (0.244, 0.244, 0.000)
Rh (0.309, 0.500, 0.809)
Rh (0.691, 0.500, 0.191)
Rh (0.756, 0.756, 0.000)

Results
D(E_F) (states/eV/atom): 0.455
Calculated total energy (eV for the cell shown): -52.1
SG: No. 71
V (Å³/f.u.): 243.3


DFT (PBE) results for a relaxed NdCd9Rh2 crystal.

abc: 9.057 9.057 9.057
angles: 100.10 100.10 130.49
Fractional positions:
Nd (0.375, 0.625, 0.750)
Nd (0.625, 0.375, 0.250)
Cd (0.125, 0.875, 0.250)
Cd (0.132, 0.561, 0.330)
Cd (0.132, 0.803, 0.571)
Cd (0.197, 0.268, 0.330)
Cd (0.197, 0.868, 0.929)
Cd (0.268, 0.197, 0.830)
Cd (0.268, 0.439, 0.071)
Cd (0.439, 0.268, 0.571)
Cd (0.439, 0.868, 0.170)
Cd (0.561, 0.132, 0.830)
Cd (0.561, 0.732, 0.429)
Cd (0.732, 0.561, 0.929)
Cd (0.732, 0.803, 0.170)
Cd (0.803, 0.132, 0.071)
Cd (0.803, 0.732, 0.670)
Cd (0.868, 0.197, 0.429)
Cd (0.868, 0.439, 0.670)
Cd (0.875, 0.125, 0.750)
Rh (0.000, 0.000, 0.000)
Rh (0.000, 0.000, 0.500)
Rh (0.000, 0.500, 0.000)
Rh (0.500, 0.000, 0.500)

Results
D(E_F) (states/eV/atom): 0.720
Calculated total energy (eV for the cell shown): -59.1
SG: No. 141
V (Å³/f.u.): 256.6


DFT (PBE) results for a relaxed NdCd8Rh4 crystal.

abc: 7.262 7.262 7.262
angles: 99.40 99.40 132.31
Fractional positions:
Nd (0.000, 0.000, 0.000)
Cd (0.000, 0.334, 0.334)
Cd (0.000, 0.666, 0.666)
Cd (0.277, 0.500, 0.777)
Cd (0.334, 0.000, 0.334)
Cd (0.500, 0.277, 0.777)
Cd (0.500, 0.723, 0.223)
Cd (0.666, 0.000, 0.666)
Cd (0.723, 0.500, 0.223)
Rh (0.000, 0.000, 0.500)
Rh (0.000, 0.500, 0.000)
Rh (0.500, 0.000, 0.000)
Rh (0.500, 0.500, 0.500)

Results
D(E_F) (states/eV/atom): 0.491
Calculated total energy (eV for the cell shown): -44.4
SG: No. 139
V (Å³/f.u.): 259.0


DFT (PBE) results for a relaxed Nd3CdRh8 crystal.

abc: 9.345 9.345 9.345
angles: 33.38 33.38 33.38
Fractional positions:
Nd (0.000, 0.000, 0.000)
Nd (0.128, 0.128, 0.128)
Nd (0.620, 0.620, 0.620)
Cd (0.498, 0.498, 0.498)
Rh (0.061, 0.061, 0.562)
Rh (0.061, 0.562, 0.061)
Rh (0.063, 0.562, 0.562)
Rh (0.312, 0.312, 0.312)
Rh (0.562, 0.061, 0.061)
Rh (0.562, 0.063, 0.562)
Rh (0.562, 0.562, 0.063)
Rh (0.812, 0.812, 0.812)

Results
D(E_F) (states/eV/atom): 0.846
Calculated total energy (eV for the cell shown): -80.3
SG: No. 160
V (Å³/f.u.): 220.0


DFT (PBE) results for a relaxed Nd2CdRh crystal.

abc: 8.552 8.552 8.552
angles: 27.32 27.32 27.32
Fractional positions:
Nd (0.233, 0.233, 0.233)
Nd (0.767, 0.767, 0.767)
Cd (0.000, 0.000, 0.000)
Rh (0.500, 0.500, 0.500)

Results
D(E_F) (states/eV/atom): 0.605
Calculated total energy (eV for the cell shown): -19.5
Excess energy over the best structure of this formula in the dataset (eV/f.u.): 0.29
SG: No. 166
V (Å³/f.u.): 116.2


DFT (PBE) results for a relaxed NdCd5Rh crystal.

abc: 4.738 4.738 7.453
angles: 90.00 90.00 90.00
Fractional positions:
Nd (0.000, 0.000, 0.000)
Cd (0.000, 0.500, 0.302)
Cd (0.000, 0.500, 0.698)
Cd (0.500, 0.000, 0.302)
Cd (0.500, 0.000, 0.698)
Cd (0.500, 0.500, 0.000)
Rh (0.000, 0.000, 0.500)

Results
D(E_F) (states/eV/atom): 0.732
Calculated total energy (eV for the cell shown): -18.2
SG: No. 123
V (Å³/f.u.): 167.3


DFT (PBE) results for a relaxed Nd3CdRh3 crystal.

abc: 9.149 9.149 4.653
angles: 90.00 90.00 120.00
Fractional positions:
Nd (0.073, 0.395, 0.250)
Nd (0.322, 0.927, 0.250)
Nd (0.395, 0.322, 0.750)
Nd (0.605, 0.678, 0.250)
Nd (0.678, 0.073, 0.750)
Nd (0.927, 0.605, 0.750)
Cd (0.333, 0.667, 0.750)
Cd (0.667, 0.333, 0.250)
Rh (0.032, 0.190, 0.750)
Rh (0.159, 0.968, 0.750)
Rh (0.190, 0.159, 0.250)
Rh (0.810, 0.841, 0.750)
Rh (0.841, 0.032, 0.250)
Rh (0.968, 0.810, 0.250)

Results
D(E_F) (states/eV/atom): 0.857
Calculated total energy (eV for the cell shown): -80.6
Excess energy over the best structure of this formula in the dataset (eV/f.u.): 1.36
SG: No. 176
V (Å³/f.u.): 168.7


DFT (PBE) results for a relaxed NdCd4Rh2 crystal.

abc: 8.653 8.653 4.250
angles: 90.00 90.00 151.51
Fractional positions:
Nd (0.000, 0.000, 0.000)
Cd (0.179, 0.821, 0.500)
Cd (0.323, 0.677, 0.000)
Cd (0.677, 0.323, 0.000)
Cd (0.821, 0.179, 0.500)
Rh (0.427, 0.573, 0.500)
Rh (0.573, 0.427, 0.500)

Results
D(E_F) (states/eV/atom): 0.472
Calculated total energy (eV for the cell shown): -24.8
Excess energy over the best structure of this formula in the dataset (eV/f.u.): 0.33
SG: No. 65
V (Å³/f.u.): 151.8


DFT (PBE) results for a relaxed NdCdRh2 crystal.

abc: 4.519 4.519 3.729
angles: 90.00 90.00 90.00
Fractional positions:
Nd (0.000, 0.000, 0.000)
Cd (0.500, 0.500, 0.000)
Rh (0.000, 0.500, 0.500)
Rh (0.500, 0.000, 0.500)

Results
D(E_F) (states/eV/atom): 0.832
Calculated total energy (eV for the cell shown): -22.3
SG: No. 123
V (Å³/f.u.): 76.2


DFT (PBE) results for a relaxed Nd12CdRh6 crystal.

abc: 8.850 8.850 8.850
angles: 109.47 109.47 109.47
Fractional positions:
Nd (0.119, 0.814, 0.305)
Nd (0.186, 0.305, 0.491)
Nd (0.186, 0.695, 0.881)
Nd (0.305, 0.119, 0.814)
Nd (0.305, 0.491, 0.186)
Nd (0.491, 0.186, 0.305)
Nd (0.509, 0.814, 0.695)
Nd (0.695, 0.509, 0.814)
Nd (0.695, 0.881, 0.186)
Nd (0.814, 0.305, 0.119)
Nd (0.814, 0.695, 0.509)
Nd (0.881, 0.186, 0.695)
Cd (0.000, 0.000, 0.000)
Rh (0.131, 0.631, 0.500)
Rh (0.369, 0.500, 0.869)
Rh (0.500, 0.131, 0.631)
Rh (0.500, 0.869, 0.369)
Rh (0.631, 0.500, 0.131)
Rh (0.869, 0.369, 0.500)

Results
D(E_F) (states/eV/atom): 0.999
Calculated total energy (eV for the cell shown): -111.5
Excess energy over the best structure of this formula in the dataset (eV/f.u.): 0.00
SG: No. 204
V (Å³/f.u.): 533.5


DFT (PBE) results for a relaxed Nd2Cd3Rh2 crystal.

abc: 5.523 5.523 7.449
angles: 96.92 96.92 45.29
Fractional positions:
Nd (0.125, 0.125, 0.357)
Nd (0.875, 0.875, 0.643)
Cd (0.190, 0.190, 0.870)
Cd (0.500, 0.500, 0.000)
Cd (0.810, 0.810, 0.130)
Rh (0.410, 0.410, 0.350)
Rh (0.590, 0.590, 0.650)

Results
D(E_F) (states/eV/atom): 0.619
Calculated total energy (eV for the cell shown): -30.2
SG: No. 12
V (Å³/f.u.): 160.1


DFT (PBE) results for a relaxed NdCd2Rh2 crystal.

abc: 5.499 5.499 9.749
angles: 95.94 95.94 128.84
Fractional positions:
Nd (0.125, 0.875, 0.750)
Nd (0.875, 0.125, 0.250)
Cd (0.253, 0.505, 0.000)
Cd (0.495, 0.747, 0.500)
Cd (0.505, 0.253, 0.500)
Cd (0.747, 0.495, 0.000)
Rh (0.211, 0.789, 0.250)
Rh (0.462, 0.538, 0.750)
Rh (0.538, 0.462, 0.250)
Rh (0.789, 0.211, 0.750)

Results
D(E_F) (states/eV/atom): 0.914
Calculated total energy (eV for the cell shown): -44.3
SG: No. 15
V (Å³/f.u.): 111.5


DFT (PBE) results for a relaxed Nd2CdRh2 crystal.

abc: 7.689 7.689 3.872
angles: 90.00 90.00 90.00
Fractional positions:
Nd (0.167, 0.333, 0.000)
Nd (0.333, 0.833, 0.000)
Nd (0.667, 0.167, 0.000)
Nd (0.833, 0.667, 0.000)
Cd (0.000, 0.000, 0.500)
Cd (0.500, 0.500, 0.500)
Rh (0.135, 0.635, 0.500)
Rh (0.365, 0.135, 0.500)
Rh (0.635, 0.865, 0.500)
Rh (0.865, 0.365, 0.500)

Results
D(E_F) (states/eV/atom): 0.724
Calculated total energy (eV for the cell shown): -56.3
SG: No. 127
V (Å³/f.u.): 114.5


DFT (PBE) results for a relaxed Nd12CdRh6 crystal.

abc: 8.876 8.876 8.876
angles: 108.76 108.76 108.76
Fractional positions:
Nd (0.044, 0.103, 0.348)
Nd (0.103, 0.348, 0.044)
Nd (0.169, 0.644, 0.465)
Nd (0.348, 0.044, 0.103)
Nd (0.356, 0.535, 0.831)
Nd (0.465, 0.169, 0.644)
Nd (0.535, 0.831, 0.356)
Nd (0.644, 0.465, 0.169)
Nd (0.652, 0.956, 0.897)
Nd (0.831, 0.356, 0.535)
Nd (0.897, 0.652, 0.956)
Nd (0.956, 0.897, 0.652)
Cd (0.500, 0.500, 0.500)
Rh (0.133, 0.708, 0.782)
Rh (0.218, 0.867, 0.292)
Rh (0.292, 0.218, 0.867)
Rh (0.708, 0.782, 0.133)
Rh (0.782, 0.133, 0.708)
Rh (0.867, 0.292, 0.218)

Results
D(E_F) (states/eV/atom): 0.839
Calculated total energy (eV for the cell shown): -110.6
Excess energy over the best structure of this formula in the dataset (eV/f.u.): 0.90
SG: No. 148
V (Å³/f.u.): 552.0


DFT (PBE) results for a relaxed Nd5CdRh4 crystal.

abc: 3.597 3.597 18.214
angles: 90.00 90.00 90.00
Fractional positions:
Nd (0.000, 0.000, 0.000)
Nd (0.000, 0.000, 0.191)
Nd (0.000, 0.000, 0.379)
Nd (0.000, 0.000, 0.621)
Nd (0.000, 0.000, 0.809)
Cd (0.500, 0.500, 0.500)
Rh (0.500, 0.500, 0.097)
Rh (0.500, 0.500, 0.290)
Rh (0.500, 0.500, 0.710)
Rh (0.500, 0.500, 0.903)

Results
D(E_F) (states/eV/atom): 0.618
Calculated total energy (eV for the cell shown): -60.0
SG: No. 123
V (Å³/f.u.): 235.7


DFT (PBE) results for a relaxed Nd2CdRh2 crystal.

abc: 5.889 5.889 8.404
angles: 106.50 106.50 56.35
Fractional positions:
Nd (0.013, 0.695, 0.851)
Nd (0.305, 0.987, 0.649)
Nd (0.695, 0.013, 0.351)
Nd (0.987, 0.305, 0.149)
Cd (0.342, 0.658, 0.250)
Cd (0.658, 0.342, 0.750)
Rh (0.207, 0.515, 0.483)
Rh (0.485, 0.793, 0.017)
Rh (0.515, 0.207, 0.983)
Rh (0.793, 0.485, 0.517)

Results
D(E_F) (states/eV/atom): 0.499
Calculated total energy (eV for the cell shown): -56.4
SG: No. 15
V (Å³/f.u.): 114.8


DFT (PBE) results for a relaxed Nd4Cd5Rh2 crystal.

abc: 7.813 3.776 9.719
angles: 90.00 94.23 90.00
Fractional positions:
Nd (0.171, 0.000, 0.350)
Nd (0.221, 0.000, 0.946)
Nd (0.779, 0.000, 0.054)
Nd (0.829, 0.000, 0.650)
Cd (0.185, 0.500, 0.652)
Cd (0.452, 0.500, 0.179)
Cd (0.500, 0.500, 0.500)
Cd (0.548, 0.500, 0.821)
Cd (0.815, 0.500, 0.348)
Rh (0.073, 0.500, 0.143)
Rh (0.927, 0.500, 0.857)

Results
D(E_F) (states/eV/atom): 0.585
Calculated total energy (eV for the cell shown): -43.4
SG: No. 10
V (Å³/f.u.): 285.9


DFT (PBE) results for a relaxed Nd2Cd2Rh3 crystal.

abc: 6.644 6.644 6.773
angles: 108.33 108.33 33.23
Fractional positions:
Nd (0.187, 0.187, 0.243)
Nd (0.813, 0.813, 0.757)
Cd (0.074, 0.074, 0.744)
Cd (0.926, 0.926, 0.256)
Rh (0.407, 0.407, 0.552)
Rh (0.500, 0.500, 0.000)
Rh (0.593, 0.593, 0.448)

Results
D(E_F) (states/eV/atom): 0.444
Calculated total energy (eV for the cell shown): -36.1
SG: No. 12
V (Å³/f.u.): 154.8


DFT (PBE) results for a relaxed Nd5CdRh2 crystal.

abc: 8.937 8.937 8.937
angles: 126.44 126.44 79.17
Fractional positions:
Nd (0.000, 0.000, 0.000)
Nd (0.027, 0.527, 0.824)
Nd (0.204, 0.027, 0.500)
Nd (0.296, 0.796, 0.824)
Nd (0.473, 0.296, 0.500)
Nd (0.500, 0.500, 0.000)
Nd (0.527, 0.704, 0.500)
Nd (0.704, 0.204, 0.176)
Nd (0.796, 0.973, 0.500)
Nd (0.973, 0.473, 0.176)
Cd (0.250, 0.250, 0.000)
Cd (0.750, 0.750, 0.000)
Rh (0.136, 0.364, 0.500)
Rh (0.364, 0.864, 0.228)
Rh (0.636, 0.136, 0.772)
Rh (0.864, 0.636, 0.500)

Results
D(E_F) (states/eV/atom): 1.092
Calculated total energy (eV for the cell shown): -86.5
SG: No. 140
V (Å³/f.u.): 223.4


DFT (PBE) results for a relaxed Nd2CdRh crystal.

abc: 3.628 3.628 7.753
angles: 90.00 90.00 90.00
Fractional positions:
Nd (0.000, 0.000, 0.218)
Nd (0.000, 0.000, 0.782)
Cd (0.500, 0.500, 0.500)
Rh (0.500, 0.500, 0.000)

Results
D(E_F) (states/eV/atom): 0.525
Calculated total energy (eV for the cell shown): -19.8
Excess energy over the best structure of this formula in the dataset (eV/f.u.): 0.08
SG: No. 123
V (Å³/f.u.): 102.1